[1]
This record from Alexandria via LeMat-Bulk describes RbNa2PbF8 after structural relaxation. The functional is GGA-PBE.

Summary:
space group = P-1
ΔE_f (raw) = -2.256 eV/atom

POSCAR file:
```
RbNa2PbF8
1.0
5.123 0.000 0.000
-0.009 5.274 0.000
-0.067 -0.029 7.943
Rb Na Pb F
1 2 1 8
direct
0.000 0.000 0.000
0.500 0.500 0.282
0.500 0.500 0.718
0.000 0.000 0.500
0.214 0.829 0.305
0.219 0.834 0.696
0.262 0.309 0.499
0.316 0.446 0.999
0.684 0.554 0.001
0.738 0.691 0.501
0.781 0.166 0.304
0.786 0.171 0.695
```



[2]
This record from Alexandria via LeMat-Bulk describes AcInAgTe3 after structural relaxation. The functional is GGA-PBE.

Summary:
space group = P2_1/m
ΔE_f (raw) = -0.736 eV/atom
DOS(E_F) = 2.27 states/eV/f.u.

POSCAR file:
```
AcInAgTe3
1.0
9.254 0.000 0.000
0.000 4.517 0.000
-2.306 0.000 9.436
Ac In Ag Te
2 2 2 6
direct
0.171 0.250 0.242
0.829 0.750 0.758
0.348 0.750 0.861
0.652 0.250 0.139
0.075 0.250 0.578
0.925 0.750 0.422
0.104 0.250 0.878
0.250 0.750 0.519
0.422 0.750 0.185
0.578 0.250 0.815
0.750 0.250 0.481
0.896 0.750 0.122
```



[3]
This record from Alexandria via LeMat-Bulk describes K6Pd3Br4Cl8 after structural relaxation. The functional is GGA-PBE.

Summary:
space group = Amm2
ΔE_f (raw) = -1.304 eV/atom

POSCAR file:
```
K6Pd3Br4Cl8
1.0
4.257 0.000 0.000
0.000 15.993 4.947
0.000 -15.993 4.947
K Pd Br Cl
6 3 4 8
direct
0.000 0.084 0.916
0.000 0.260 0.751
0.000 0.413 0.587
0.000 0.587 0.413
0.000 0.751 0.260
0.000 0.916 0.084
0.500 0.084 0.419
0.500 0.419 0.084
0.500 0.749 0.749
0.500 0.172 0.835
0.500 0.500 0.500
0.500 0.835 0.172
0.500 0.999 0.999
0.500 0.013 0.495
0.500 0.155 0.344
0.500 0.323 0.656
0.500 0.344 0.155
0.500 0.495 0.013
0.500 0.656 0.323
0.500 0.676 0.822
0.500 0.822 0.676
```



Q: What is the formula in the second record?
A: AcInAgTe3



Q: What is the ΔE_f (raw) in the first record?
A: -2.256 eV/atom



Copy entry 2 word for word.
This record from Alexandria via LeMat-Bulk describes AcInAgTe3 after structural relaxation. The functional is GGA-PBE.

Summary:
space group = P2_1/m
ΔE_f (raw) = -0.736 eV/atom
DOS(E_F) = 2.27 states/eV/f.u.

POSCAR file:
```
AcInAgTe3
1.0
9.254 0.000 0.000
0.000 4.517 0.000
-2.306 0.000 9.436
Ac In Ag Te
2 2 2 6
direct
0.171 0.250 0.242
0.829 0.750 0.758
0.348 0.750 0.861
0.652 0.250 0.139
0.075 0.250 0.578
0.925 0.750 0.422
0.104 0.250 0.878
0.250 0.750 0.519
0.422 0.750 0.185
0.578 0.250 0.815
0.750 0.250 0.481
0.896 0.750 0.122
```



Q: Which of these has the highest ΔE_f (raw)?
A: AcInAgTe3